[1]
VASP calculation (PBE-GGA) on a relaxed structure of Pa2Si4Pd3Rh.

- Space-group type: No. 115
- ΔE_f (raw): -0.773 eV/atom

abc: 4.211 4.211 9.694
angles: 90.00 90.00 90.00
Atoms (fractional coordinates):
1 Pd 0.000 0.000 0.500
2 Pd 0.000 0.500 0.122
3 Pd 0.500 0.000 0.878
4 Si 0.000 0.500 0.368
5 Si 0.000 0.000 0.000
6 Si 0.500 0.500 0.000
7 Si 0.500 0.000 0.632
8 Pa 0.000 0.500 0.749
9 Pa 0.500 0.000 0.251
10 Rh 0.500 0.500 0.500

---

[2]
VASP calculation (PBE-GGA) on a relaxed structure of KZrGe2Rh.

- ΔH_f (0 K): 1.214 eV per atom
- Space-group type: No. 123

abc: 5.142 5.754 5.142
angles: 90.00 90.00 90.00
Each line ends with the local moment (μB).
Atoms (fractional coordinates):
1 Ge 0.000 0.000 0.500  0.04
2 Ge 0.500 0.000 0.000  0.01
3 Rh 0.500 0.500 0.500  1.11
4 K 0.000 0.500 0.000  0.02
5 Zr 0.000 0.000 0.000  0.28

---

| no. | mass density (Mg/m³) | E (eV for the cell shown) |
| --- | --- | --- |
| 1 | 9.63 | -71.35 |
| 2 | 4.13 | -20.16 |